Entry 1:
# LiAcIn2Pd4

A geometry-optimized LiAcIn2Pd4 structure (GGA-PBE, the Alexandria database).

Cell: 9.199 9.199 9.199 Å, 28.89 28.89 28.89°
Element x y z (fractional)
Li: 0.000 0.000 0.000
Ac: 0.500 0.500 0.500
In: 0.266 0.266 0.266
In: 0.734 0.734 0.734
Pd: 0.096 0.096 0.096
Pd: 0.371 0.371 0.371
Pd: 0.629 0.629 0.629
Pd: 0.904 0.904 0.904

electronic total energy: -0.172 hartree per atom
formation energy from the elements: -0.658 eV per atom

---

Entry 2:
# LiAcIn4Pd2

A geometry-optimized LiAcIn4Pd2 structure (GGA-PBE, the Alexandria database).

Cell: 10.098 10.098 10.098 Å, 26.62 26.62 26.62°
Element x y z (fractional)
Li: 0.000 0.000 0.000
Ac: 0.500 0.500 0.500
In: 0.097 0.097 0.097
In: 0.369 0.369 0.369
In: 0.631 0.631 0.631
In: 0.903 0.903 0.903
Pd: 0.271 0.271 0.271
Pd: 0.729 0.729 0.729

electronic total energy: -0.144 hartree per atom
formation energy from the elements: -0.501 eV per atom

---

Entry 3:
# Li3Ac2InPd4

A geometry-optimized Li3Ac2InPd4 structure (GGA-PBE, the Alexandria database).

Cell: 4.331 4.331 11.121 Å, 90.00 90.00 90.00°
Element x y z (fractional)
Li: 0.000 0.000 0.000
Li: 0.000 0.500 0.610
Li: 0.500 0.000 0.390
Ac: 0.000 0.500 0.270
Ac: 0.500 0.000 0.730
In: 0.500 0.500 0.000
Pd: 0.000 0.000 0.500
Pd: 0.000 0.500 0.844
Pd: 0.500 0.000 0.156
Pd: 0.500 0.500 0.500

electronic total energy: -0.159 hartree per atom
formation energy from the elements: -0.589 eV per atom

---

Entry 4:
# LiAcInPd3

A geometry-optimized LiAcInPd3 structure (GGA-PBE, the Alexandria database).

Cell: 6.859 6.859 6.944 Å, 90.00 90.00 128.65°
Element x y z (fractional)
Li: 0.070 0.930 0.750
Li: 0.930 0.070 0.250
Ac: 0.323 0.677 0.750
Ac: 0.677 0.323 0.250
In: 0.371 0.629 0.250
In: 0.629 0.371 0.750
Pd: 0.150 0.850 0.250
Pd: 0.253 0.253 0.000
Pd: 0.253 0.253 0.500
Pd: 0.747 0.747 0.000
Pd: 0.747 0.747 0.500
Pd: 0.850 0.150 0.750

electronic total energy: -0.169 hartree per atom
formation energy from the elements: -0.532 eV per atom

---

Entry 5:
# Li2Ac3InPd9

A geometry-optimized Li2Ac3InPd9 structure (GGA-PBE, the Alexandria database).

Cell: 6.992 6.992 7.349 Å, 90.00 90.00 120.00°
Element x y z (fractional)
Li: 0.333 0.667 0.117
Li: 0.667 0.333 0.883
Ac: 0.000 0.000 0.000
Ac: 0.333 0.667 0.668
Ac: 0.667 0.333 0.332
In: 0.000 0.000 0.500
Pd: 0.000 0.500 0.000
Pd: 0.189 0.377 0.323
Pd: 0.189 0.811 0.323
Pd: 0.377 0.189 0.677
Pd: 0.500 0.000 0.000
Pd: 0.500 0.500 0.000
Pd: 0.623 0.811 0.323
Pd: 0.811 0.189 0.677
Pd: 0.811 0.623 0.677

electronic total energy: -0.179 hartree per atom
formation energy from the elements: -0.500 eV per atom

---

Entry 6:
# LiAcIn2Pd2

A geometry-optimized LiAcIn2Pd2 structure (GGA-PBE, the Alexandria database).

Cell: 5.361 5.361 10.654 Å, 90.00 90.00 90.00°
Element x y z (fractional)
Li: 0.000 0.000 0.000
Li: 0.500 0.500 0.500
Ac: 0.000 0.000 0.500
Ac: 0.500 0.500 0.000
In: 0.000 0.500 0.250
In: 0.000 0.500 0.750
In: 0.500 0.000 0.250
In: 0.500 0.000 0.750
Pd: 0.000 0.000 0.223
Pd: 0.000 0.000 0.777
Pd: 0.500 0.500 0.277
Pd: 0.500 0.500 0.723

electronic total energy: -0.148 hartree per atom
formation energy from the elements: -0.382 eV per atom